Model A:
Below is an optimized crystal structure of Pr2In3Hg4, with properties calculated at the PBE level.

Cell: 5.1417 5.1417 10.3699 Å, 90.00 90.00 120.00°
Space group P-3m1 (No. 164)
One atom of each set of equivalent atoms:
Pr  0.3333  0.6667  0.2128
In  0.0000  0.0000  0.0000
In  0.3333  0.6667  0.5616
Hg  0.0000  0.0000  0.3370
Hg  0.3333  0.6667  0.8946

***

Model B:
Below is an optimized crystal structure of Pr2In3Hg4, with properties calculated at the PBE level.

Cell: 6.436 16.704 8.804 Å, 90.00 90.00 90.00°
Space group Cmce (No. 64)
One atom of each set of equivalent atoms:
Pr  0.000  0.113  0.080
In  0.000  0.000  0.500
In  0.250  0.220  0.750
Hg  0.000  0.176  0.458
Hg  0.250  0.046  0.750

***

Name the most stable of them. model A.

***

Model A:
Below is an optimized crystal structure of Pr6In5Hg, with properties calculated at the PBE level.

Cell: 5.525 7.803 8.718 Å, 90.00 108.26 90.00°
Space group P2/m (No. 10)
One atom of each set of equivalent atoms:
Pr  0.000  0.247  0.000
Pr  0.334  0.249  0.669
In  0.166  0.000  0.332
In  0.167  0.500  0.334
In  0.500  0.500  0.000
Hg  0.500  0.000  0.000

***

Model B:
Below is an optimized crystal structure of Pr6In5Hg, with properties calculated at the PBE level.

Cell: 6.720 11.730 10.026 Å, 90.00 102.46 90.00°
Space group C2/m (No. 12)
One atom of each set of equivalent atoms:
Pr  0.236  0.000  0.230
Pr  0.238  0.168  0.741
In  0.000  0.000  0.500
In  0.000  0.191  0.000
In  0.000  0.356  0.500
Hg  0.000  0.500  0.000

***

Name the most stable of them. model A.

***

Model A:
Below is an optimized crystal structure of PrInSnHg, with properties calculated at the PBE level.

Cell: 7.596 7.596 7.596 Å, 90.00 90.00 90.00°
Space group F-43m (No. 216)
One atom of each set of equivalent atoms:
Pr  0.000  0.000  0.000
In  0.000  0.000  0.500
Sn  0.250  0.250  0.750
Hg  0.250  0.250  0.250

***

Model B:
Below is an optimized crystal structure of PrInSnHg, with properties calculated at the PBE level.

Cell: 4.649 4.673 4.874 Å, 90.00 90.00 90.00°
Space group Pmmm (No. 47)
One atom of each set of equivalent atoms:
Pr  0.000  0.000  0.000
In  0.000  0.500  0.500
Sn  0.500  0.500  0.000
Hg  0.500  0.000  0.500

***

Name the most stable of them. model B.

***

Model A:
Below is an optimized crystal structure of InHgPt3, with properties calculated at the PBE level.

Cell: 5.031 5.031 5.031 Å, 90.00 90.00 90.00°
Space group Pm-3m (No. 221)
One atom of each set of equivalent atoms:
In  0.000  0.000  0.000
Hg  0.500  0.500  0.500
Pt  0.000  0.500  0.500

***

Model B:
Below is an optimized crystal structure of InHgPt3, with properties calculated at the PBE level.

Cell: 4.965 4.965 4.965 Å, 90.00 90.00 90.00°
Space group Pm-3m (No. 221)
One atom of each set of equivalent atoms:
In  0.000  0.000  0.000
Hg  0.500  0.500  0.500
Pt  0.000  0.000  0.500

***

Name the most stable of them. model B.

***

Model A:
Below is an optimized crystal structure of ZnIn2HgPt, with properties calculated at the PBE level.

Cell: 5.088 5.088 4.927 Å, 90.00 90.00 90.00°
Space group P4/mmm (No. 123)
One atom of each set of equivalent atoms:
Zn  0.000  0.000  0.000
In  0.000  0.500  0.000
Hg  0.000  0.000  0.500
Pt  0.500  0.500  0.500

***

Model B:
Below is an optimized crystal structure of ZnIn2HgPt, with properties calculated at the PBE level.

Cell: 5.262 5.262 5.002 Å, 90.00 90.00 90.00°
Space group P4/mmm (No. 123)
One atom of each set of equivalent atoms:
Zn  0.000  0.000  0.000
In  0.000  0.500  0.500
Hg  0.500  0.500  0.000
Pt  0.000  0.000  0.500

***

Name the most stable of them. model B.

***

Model A:
Below is an optimized crystal structure of Pu2InHg6, with properties calculated at the PBE level.

Cell: 11.521 6.624 6.054 Å, 90.00 90.24 90.00°
Space group C2/m (No. 12)
One atom of each set of equivalent atoms:
Pu  0.166  0.000  0.167
In  0.000  0.500  0.000
Hg  0.092  0.226  0.676
Hg  0.184  0.500  0.323

***

Model B:
Below is an optimized crystal structure of Pu2InHg6, with properties calculated at the PBE level.

Cell: 5.2171 5.2171 9.5483 Å, 90.00 90.00 120.00°
Space group P-3m1 (No. 164)
One atom of each set of equivalent atoms:
Pu  0.3333  0.6667  0.2330
In  0.0000  0.0000  0.0000
Hg  0.0000  0.0000  0.3411
Hg  0.3333  0.6667  0.5771
Hg  0.3333  0.6667  0.8985

***

Name the most stable of them. model B.